No. 1
Here is Hf2CdHS after structural relaxation from Alexandria. Energies are from PBE-GGA.

a b c (Å): 5.355 3.408 5.355
angles (deg): 90.00 90.00 90.00
Element x y z (fractional)
H 0.000 0.500 0.000
S 0.500 0.500 0.500
Hf 0.000 0.000 0.500
Hf 0.500 0.000 0.000
Cd 0.000 0.000 0.000

* size of the total moment: 0.000 μB/f.u.
* SG: P4/mmm, No. 123
* uncorrected energy: -24.9 eV per formula unit
* DOS at the Fermi energy: 2.4 states/eV/f.u.


No. 2
Here is Hf2ScCdH after structural relaxation from Alexandria. Energies are from PBE-GGA.

a b c (Å): 4.413 4.413 4.522
angles (deg): 90.00 90.00 90.00
Element x y z (fractional)
Sc 0.000 0.000 0.500
H 0.000 0.000 0.000
Hf 0.000 0.500 0.000
Hf 0.500 0.000 0.000
Cd 0.500 0.500 0.500

* size of the total moment: 0.000 μB/f.u.
* SG: P4/mmm, No. 123
* uncorrected energy: -31.3 eV per formula unit
* DOS at the Fermi energy: 5.1 states/eV/f.u.